First-principles (PBE) data for a relaxed PmFeMo crystal, as listed in OQMD.

```
data_PmFeMo
_chemical_formula_sum 'Pm4 Fe4 Mo4'
_cell_length_a 6.239
_cell_length_b 6.239
_cell_length_c 6.239
_cell_angle_alpha 90.00
_cell_angle_beta 90.00
_cell_angle_gamma 90.00
_space_group_name_H-M_alt 'F -4 3 m'
_space_group_IT_number 216
_space_group_name_Hall 'F -4 2 3'
loop_
_atom_site_label
_atom_site_type_symbol
_atom_site_fract_x
_atom_site_fract_y
_atom_site_fract_z
Pm1 Pm 0.000 0.000 0.000
Fe1 Fe 0.250 0.250 0.750
Mo1 Mo 0.000 0.000 0.500
```

Calculated values
- E: -7.24 eV/atom
- Energy above the most stable polymorph in this dataset: 0 meV/atom
- Crystal system: cubic
- V: 20.237 Å³/atom

First-principles (PBE) data for a relaxed PmFeMo crystal, as listed in OQMD.

```
data_PmFeMo
_chemical_formula_sum 'Pm4 Fe4 Mo4'
_cell_length_a 6.450
_cell_length_b 6.450
_cell_length_c 6.450
_cell_angle_alpha 90.00
_cell_angle_beta 90.00
_cell_angle_gamma 90.00
_space_group_name_H-M_alt 'F -4 3 m'
_space_group_IT_number 216
_space_group_name_Hall 'F -4 2 3'
loop_
_atom_site_label
_atom_site_type_symbol
_atom_site_fract_x
_atom_site_fract_y
_atom_site_fract_z
Pm1 Pm 0.000 0.000 0.000
Fe1 Fe 0.250 0.250 0.750
Mo1 Mo 0.250 0.250 0.250
```

Calculated values
- E: -6.30 eV/atom
- Energy above the most stable polymorph in this dataset: 935 meV/atom
- Crystal system: cubic
- V: 22.362 Å³/atom

First-principles (PBE) data for a relaxed FeSnMoPt crystal, as listed in OQMD.

```
data_FeSnMoPt
_chemical_formula_sum 'Fe4 Sn4 Mo4 Pt4'
_cell_length_a 6.358
_cell_length_b 6.358
_cell_length_c 6.358
_cell_angle_alpha 90.00
_cell_angle_beta 90.00
_cell_angle_gamma 90.00
_space_group_name_H-M_alt 'F -4 3 m'
_space_group_IT_number 216
_space_group_name_Hall 'F -4 2 3'
loop_
_atom_site_label
_atom_site_type_symbol
_atom_site_fract_x
_atom_site_fract_y
_atom_site_fract_z
Fe1 Fe 0.000 0.000 0.000
Sn1 Sn 0.250 0.250 0.750
Mo1 Mo 0.000 0.000 0.500
Pt1 Pt 0.250 0.250 0.250
```

Calculated values
- E: -7.15 eV/atom
- Energy above the most stable polymorph in this dataset: 0 meV/atom
- Crystal system: cubic
- V: 16.063 Å³/atom

First-principles (PBE) data for a relaxed TlFeMoPt crystal, as listed in OQMD.

```
data_TlFeMoPt
_chemical_formula_sum 'Tl4 Fe4 Mo4 Pt4'
_cell_length_a 6.416
_cell_length_b 6.416
_cell_length_c 6.416
_cell_angle_alpha 90.00
_cell_angle_beta 90.00
_cell_angle_gamma 90.00
_space_group_name_H-M_alt 'F -4 3 m'
_space_group_IT_number 216
_space_group_name_Hall 'F -4 2 3'
loop_
_atom_site_label
_atom_site_type_symbol
_atom_site_fract_x
_atom_site_fract_y
_atom_site_fract_z
Tl1 Tl 0.000 0.000 0.000
Fe1 Fe 0.250 0.250 0.250
Mo1 Mo 0.000 0.000 0.500
Pt1 Pt 0.250 0.250 0.750
```

Calculated values
- E: -6.45 eV/atom
- Energy above the most stable polymorph in this dataset: 0 meV/atom
- Crystal system: cubic
- V: 16.507 Å³/atom

First-principles (PBE) data for a relaxed RbFeMo crystal, as listed in OQMD.

```
data_RbFeMo
_chemical_formula_sum 'Rb4 Fe4 Mo4'
_cell_length_a 7.190
_cell_length_b 7.190
_cell_length_c 7.190
_cell_angle_alpha 90.00
_cell_angle_beta 90.00
_cell_angle_gamma 90.00
_space_group_name_H-M_alt 'F -4 3 m'
_space_group_IT_number 216
_space_group_name_Hall 'F -4 2 3'
loop_
_atom_site_label
_atom_site_type_symbol
_atom_site_fract_x
_atom_site_fract_y
_atom_site_fract_z
Rb1 Rb 0.000 0.000 0.000
Fe1 Fe 0.250 0.250 0.750
Mo1 Mo 0.250 0.250 0.250
```

Calculated values
- E: -3.84 eV/atom
- Energy above the most stable polymorph in this dataset: 619 meV/atom
- Crystal system: cubic
- V: 30.974 Å³/atom

First-principles (PBE) data for a relaxed RbFeMo crystal, as listed in OQMD.

```
data_RbFeMo
_chemical_formula_sum 'Rb4 Fe4 Mo4'
_cell_length_a 6.286
_cell_length_b 6.286
_cell_length_c 6.286
_cell_angle_alpha 90.00
_cell_angle_beta 90.00
_cell_angle_gamma 90.00
_space_group_name_H-M_alt 'F -4 3 m'
_space_group_IT_number 216
_space_group_name_Hall 'F -4 2 3'
loop_
_atom_site_label
_atom_site_type_symbol
_atom_site_fract_x
_atom_site_fract_y
_atom_site_fract_z
Rb1 Rb 0.000 0.000 0.000
Fe1 Fe 0.250 0.250 0.750
Mo1 Mo 0.000 0.000 0.500
```

Calculated values
- E: -4.46 eV/atom
- Energy above the most stable polymorph in this dataset: 0 meV/atom
- Crystal system: cubic
- V: 20.703 Å³/atom

First-principles (PBE) data for a relaxed TlFeReMo crystal, as listed in OQMD.

```
data_TlFeReMo
_chemical_formula_sum 'Tl4 Fe4 Re4 Mo4'
_cell_length_a 6.364
_cell_length_b 6.364
_cell_length_c 6.364
_cell_angle_alpha 90.00
_cell_angle_beta 90.00
_cell_angle_gamma 90.00
_space_group_name_H-M_alt 'F -4 3 m'
_space_group_IT_number 216
_space_group_name_Hall 'F -4 2 3'
loop_
_atom_site_label
_atom_site_type_symbol
_atom_site_fract_x
_atom_site_fract_y
_atom_site_fract_z
Tl1 Tl 0.000 0.000 0.000
Fe1 Fe 0.250 0.250 0.250
Re1 Re 0.000 0.000 0.500
Mo1 Mo 0.250 0.250 0.750
```

Calculated values
- E: -7.76 eV/atom
- Energy above the most stable polymorph in this dataset: 0 meV/atom
- Crystal system: cubic
- V: 16.106 Å³/atom

First-principles (PBE) data for a relaxed ZnFeReMo crystal, as listed in OQMD.

```
data_ZnFeReMo
_chemical_formula_sum 'Zn4 Fe4 Re4 Mo4'
_cell_length_a 6.055
_cell_length_b 6.055
_cell_length_c 6.055
_cell_angle_alpha 90.00
_cell_angle_beta 90.00
_cell_angle_gamma 90.00
_space_group_name_H-M_alt 'F -4 3 m'
_space_group_IT_number 216
_space_group_name_Hall 'F -4 2 3'
loop_
_atom_site_label
_atom_site_type_symbol
_atom_site_fract_x
_atom_site_fract_y
_atom_site_fract_z
Zn1 Zn 0.000 0.000 0.000
Fe1 Fe 0.250 0.250 0.250
Re1 Re 0.250 0.250 0.750
Mo1 Mo 0.000 0.000 0.500
```

Calculated values
- E: -7.98 eV/atom
- Energy above the most stable polymorph in this dataset: 0 meV/atom
- Crystal system: cubic
- V: 13.877 Å³/atom

energy above the most stable polymorph in this dataset of number 2 (PmFeMo)? 935 meV/atom